A plane-wave DFT calculation with PBE-GGA was carried out for a relaxed ReTc2As2 crystal.

Results
Space group ... P4/mbm (127)
D(E_F) ... 10.98 states/eV/cell
DFT formation energy ... 314.1 meV per atom
Crystal system ... tetragonal

Cell lengths 7.1255, 7.1255, 2.9378 Å; angles 90.00, 90.00, 90.00 degrees
Closest atoms and distances in Å follow each position.
Sites, in units of the cell vectors:
Re 0.0000 0.0000 0.0000  4 As 2.70, 2 Re 2.94
Re 0.5000 0.5000 0.0000  4 As 2.70, 2 Re 2.94
Tc 0.1497 0.3503 0.5000  6 As 2.47-2.61
Tc 0.3503 0.8503 0.5000  6 As 2.47-2.61
Tc 0.6497 0.1497 0.5000  6 As 2.47-2.61
Tc 0.8503 0.6497 0.5000  6 As 2.47-2.61
As 0.1538 0.6538 0.0000  6 Tc 2.47-2.61, 2 Re 2.70
As 0.3462 0.1538 0.0000  6 Tc 2.47-2.61, 2 Re 2.70
As 0.6538 0.8462 0.0000  6 Tc 2.47-2.61, 2 Re 2.70
As 0.8462 0.3462 0.0000  6 Tc 2.47-2.61, 2 Re 2.70

***

A plane-wave DFT calculation with PBE-GGA was carried out for a relaxed AcTbEr2 crystal.

Results
Distance to the lowest polymorph of the same formula ... 60 meV/atom
Space group ... Fm-3m (225)
D(E_F) ... 6.37 states/eV/cell
DFT formation energy ... 122.1 meV per atom
Crystal system ... cubic

Cell lengths 5.8002, 5.8002, 5.8002 Å; angles 60.00, 60.00, 60.00 degrees
Closest atoms and distances in Å follow each position.
Sites, in units of the cell vectors:
Ac 0.0000 0.0000 0.0000  8 Er 3.55
Tb 0.5000 0.5000 0.5000  8 Er 3.55
Er 0.2500 0.2500 0.2500  4 Tb 3.55, 4 Ac 3.55
Er 0.7500 0.7500 0.7500  4 Ac 3.55, 4 Tb 3.55

***

A plane-wave DFT calculation with PBE-GGA was carried out for a relaxed PrTi3B4O12 crystal.

Results
Formation energy (no corrections) ... -2.701 eV per atom
Space group ... R32 (155)
D(E_F) ... 6.11 states/eV/cell
Crystal system ... trigonal

Cell lengths 6.2084, 6.2084, 6.2084 Å; angles 104.34, 104.34, 104.34 degrees
Closest atoms and distances in Å follow each position.
Sites, in units of the cell vectors:
Pr 0.0000 0.0000 0.0000  6 O 2.47
Ti 0.0000 0.5633 0.4367  6 O 2.04-2.07
Ti 0.4367 0.0000 0.5633  6 O 2.04-2.07
Ti 0.5633 0.4367 0.0000  6 O 2.04-2.07
B 0.0647 0.5000 0.9353  3 O 1.37-1.40
B 0.5000 0.5000 0.5000  3 O 1.38
B 0.5000 0.9353 0.0647  3 O 1.37-1.40
B 0.9353 0.0647 0.5000  3 O 1.37-1.40
O 0.0408 0.6287 0.7850  1 B 1.37
O 0.0784 0.9216 0.5000  1 B 1.40
O 0.2150 0.3713 0.9592  1 B 1.37
O 0.3589 0.6411 0.5000  1 B 1.38
O 0.3713 0.9592 0.2150  1 B 1.37
O 0.5000 0.0784 0.9216  1 B 1.40
O 0.5000 0.3589 0.6411  1 B 1.38
O 0.6287 0.7850 0.0408  1 B 1.37
O 0.6411 0.5000 0.3589  1 B 1.38
O 0.7850 0.0408 0.6287  1 B 1.37
O 0.9216 0.5000 0.0784  1 B 1.40
O 0.9592 0.2150 0.3713  1 B 1.37

***

A plane-wave DFT calculation with PBE-GGA was carried out for a relaxed Sr2CaYSc crystal.

Results
Space group ... P4/mmm (123)
D(E_F) ... 8.76 states/eV/cell
DFT formation energy ... 1005.0 meV per atom
Crystal system ... tetragonal

Cell lengths 6.0512, 6.0512, 5.7906 Å; angles 90.00, 90.00, 90.00 degrees
Closest atoms and distances in Å follow each position.
Sites, in units of the cell vectors:
Sr 0.0000 0.5000 0.0000  2 Ca 3.03
Sr 0.5000 0.0000 0.0000  2 Ca 3.03
Ca 0.0000 0.0000 0.0000  2 Y 2.90, 4 Sr 3.03
Y 0.0000 0.0000 0.5000  2 Ca 2.90
Sc 0.5000 0.5000 0.5000  8 Sr 4.19, 4 Y 4.28

***

A plane-wave DFT calculation with PBE-GGA was carried out for a relaxed GdThTlIn crystal.

Results
Space group ... F-43m (216)
D(E_F) ... 4.63 states/eV/cell
DFT formation energy ... -255.1 meV per atom
Crystal system ... cubic

Cell lengths 5.4600, 5.4600, 5.4600 Å; angles 60.00, 60.00, 60.00 degrees
Closest atoms and distances in Å follow each position.
Sites, in units of the cell vectors:
Gd 0.0000 0.0000 0.0000  4 Tl 3.34, 4 In 3.34
Th 0.5000 0.5000 0.5000  4 Tl 3.34, 4 In 3.34
Tl 0.2500 0.2500 0.2500  4 Gd 3.34, 4 Th 3.34
In 0.7500 0.7500 0.7500  4 Th 3.34, 4 Gd 3.34

***

A plane-wave DFT calculation with PBE-GGA was carried out for a relaxed SrAlAg3 crystal.

Results
Distance to the lowest polymorph of the same formula ... 0 meV/atom
Space group ... Cmcm (63)
D(E_F) ... 4.39 states/eV/cell
DFT formation energy ... -206.1 meV per atom
Crystal system ... orthorhombic

Cell lengths 7.1565, 7.1565, 5.4908 Å; angles 90.00, 90.00, 127.55 degrees
Closest atoms and distances in Å follow each position.
Sites, in units of the cell vectors:
Sr 0.1136 0.8864 0.7500  8 Ag 3.23-3.48
Sr 0.8864 0.1136 0.2500  8 Ag 3.23-3.48
Al 0.5000 0.5000 0.0000  6 Ag 2.72, 2 Al 2.75
Al 0.5000 0.5000 0.5000  6 Ag 2.72, 2 Al 2.75
Ag 0.1232 0.4059 0.7500  2 Al 2.72, 2 Ag 2.81-2.98
Ag 0.3168 0.6832 0.2500  2 Al 2.72, 2 Ag 2.81
Ag 0.4059 0.1232 0.2500  2 Al 2.72, 2 Ag 2.81-2.98
Ag 0.5941 0.8768 0.7500  2 Al 2.72, 2 Ag 2.81-2.98
Ag 0.6832 0.3168 0.7500  2 Al 2.72, 2 Ag 2.81
Ag 0.8768 0.5941 0.2500  2 Al 2.72, 2 Ag 2.81-2.98

***

A plane-wave DFT calculation with PBE-GGA was carried out for a relaxed TcSbN3 crystal.

Results
Formation energy (no corrections) ... 0.877 eV per atom
Space group ... Pm-3m (221)
D(E_F) ... 3.64 states/eV/cell
Crystal system ... cubic

Cell lengths 3.9508, 3.9508, 3.9508 Å; angles 90.00, 90.00, 90.00 degrees
Closest atoms and distances in Å follow each position.
Sites, in units of the cell vectors:
Tc 0.0000 0.0000 0.0000  6 N 1.98
Sb 0.5000 0.5000 0.5000  12 N 2.79
N 0.0000 0.0000 0.5000  2 Tc 1.98
N 0.0000 0.5000 0.0000  2 Tc 1.98
N 0.5000 0.0000 0.0000  2 Tc 1.98

***

A plane-wave DFT calculation with PBE-GGA was carried out for a relaxed Ta2AsBr crystal.

Results
Distance to the lowest polymorph of the same formula ... 748 meV/atom
Formation energy (no corrections) ... 0.606 eV per atom
Space group ... I-4m2 (119)
D(E_F) ... 2.85 states/eV/cell
Crystal system ... tetragonal

Cell lengths 5.1090, 5.1090, 5.1090 Å; angles 131.40, 131.40, 71.18 degrees
Closest atoms and distances in Å follow each position.
Sites, in units of the cell vectors:
Ta 0.0000 0.0000 0.0000  4 Ta 2.96, 4 As 2.96, 4 Br 2.97
Ta 0.7500 0.2500 0.5000  4 Ta 2.96, 4 Br 2.96, 4 As 2.97
As 0.2500 0.7500 0.5000  8 Ta 2.96-2.97, 4 Br 2.96
Br 0.5000 0.5000 0.0000  8 Ta 2.96-2.97, 4 As 2.96

***

A plane-wave DFT calculation with PBE-GGA was carried out for a relaxed Ca2ZnAu crystal.

Results
Space group ... Imm2 (44)
D(E_F) ... 2.94 states/eV/cell
DFT formation energy ... -427.2 meV per atom
Crystal system ... orthorhombic

Cell lengths 6.1709, 6.1709, 6.1709 Å; angles 145.11, 131.65, 60.99 degrees
Closest atoms and distances in Å follow each position.
Sites, in units of the cell vectors:
Ca 0.0000 0.0000 0.0000  4 Au 3.17, 2 Ca 3.35, 4 Zn 3.43-3.50
Ca 0.7065 0.2065 0.5000  4 Zn 3.21, 2 Au 3.24, 2 Ca 3.35
Zn 0.2718 0.7718 0.5000  2 Au 2.70
Au 0.4564 0.4564 0.0000  2 Zn 2.70

***

A plane-wave DFT calculation with PBE-GGA was carried out for a relaxed GeS6F crystal.

Results
Formation energy (no corrections) ... -0.196 eV per atom
Space group ... C2 (5)
D(E_F) ... 1.18 states/eV/cell
Crystal system ... monoclinic

Cell lengths 9.9624, 9.9624, 4.2976 Å; angles 91.39, 91.39, 144.89 degrees
Closest atoms and distances in Å follow each position.
Sites, in units of the cell vectors:
Ge 0.0000 0.0000 0.0000  2 F 2.15, 2 S 2.40
S 0.0601 0.6439 0.8839  1 S 1.97
S 0.3561 0.9399 0.1161  1 S 1.97
S 0.3900 0.3940 0.1636  1 S 1.99
S 0.6060 0.6100 0.8364  1 S 1.99
S 0.6407 0.0633 0.8839  1 S 1.97
S 0.9367 0.3593 0.1161  1 S 1.97
F 0.9999 0.0001 0.5000  2 Ge 2.15

***

A plane-wave DFT calculation with PBE-GGA was carried out for a relaxed MgZn3As crystal.

Results
Distance to the lowest polymorph of the same formula ... 429 meV/atom
Space group ... Pm-3m (221)
D(E_F) ... 4.88 states/eV/cell
DFT formation energy ... 803.9 meV per atom
Crystal system ... cubic

Cell lengths 4.9612, 4.9612, 4.9612 Å; angles 90.00, 90.00, 90.00 degrees
Closest atoms and distances in Å follow each position.
Sites, in units of the cell vectors:
Mg 0.0000 0.0000 0.0000  6 Zn 2.48
Zn 0.0000 0.0000 0.5000  2 Mg 2.48
Zn 0.0000 0.5000 0.0000  2 Mg 2.48
Zn 0.5000 0.0000 0.0000  2 Mg 2.48
As 0.5000 0.5000 0.5000  12 Zn 3.51

***

A plane-wave DFT calculation with PBE-GGA was carried out for a relaxed AlMo2Cl crystal.

Results
Distance to the lowest polymorph of the same formula ... 504 meV/atom
Formation energy (no corrections) ... 0.541 eV per atom
Space group ... C2/m (12)
D(E_F) ... 3.87 states/eV/cell
Crystal system ... monoclinic

Cell lengths 5.3948, 5.3948, 3.1421 Å; angles 105.54, 105.54, 120.96 degrees
Closest atoms and distances in Å follow each position.
Sites, in units of the cell vectors:
Al 0.0000 0.0000 0.0000  4 Cl 2.66-2.80, 4 Mo 2.73
Mo 0.0000 0.5000 0.5000  4 Mo 2.66-2.80, 2 Cl 2.73, 2 Al 2.73
Mo 0.5000 0.0000 0.5000  4 Mo 2.66-2.80, 2 Cl 2.73, 2 Al 2.73
Cl 0.5000 0.5000 0.0000  4 Al 2.66-2.80, 4 Mo 2.73

***

> Which value of D(E_F) does entry 8 give?

2.85 states/eV/cell

***

> D(E_F) of number 9 (Ca2ZnAu)?

2.94 states/eV/cell